Density functional theory data (GGA-PBE) for a geometry-optimized Tb5TmN6 structure.

- Uncorrected formation energy: -1.69 eV per atom
- DOS(E_F): 0.03 states/eV per atom
- Mass density: 9.71 g/cm³
- E_tot: -0.599 Ry/atom
- Symmetry: C2/m, No. 12
- Volume: 14.9 Å³/atom

a b c (Å): 6.0315 6.0318 6.0326
angles (deg): 60.00 80.41 70.54
Sites, in units of the cell vectors:
Tm 0.0000 0.0000 0.0000
Tb 0.5000 0.1662 0.6677
Tb 0.0000 0.3333 0.3335
Tb 0.5000 0.5000 0.0000
Tb 0.0000 0.6667 0.6665
Tb 0.5000 0.8338 0.3323
N 0.7520 0.0827 0.3298
N 0.2480 0.5876 0.3298
N 0.2482 0.2471 0.0000
N 0.7518 0.7529 0.0000
N 0.7520 0.4124 0.6702
N 0.2480 0.9173 0.6702

Density functional theory data (GGA-PBE) for a geometry-optimized TbTmN structure.

- Uncorrected formation energy: -0.31 eV per atom
- DOS(E_F): 0.63 states/eV per atom
- Mass density: 10.68 g/cm³
- E_tot: -0.449 Ry/atom
- Symmetry: F-43m, No. 216
- Volume: 17.7 Å³/atom

a b c (Å): 4.2205 4.2205 4.2205
angles (deg): 60.00 60.00 60.00
Sites, in units of the cell vectors:
Tm 0.0000 0.0000 0.0000
Tb 0.5000 0.5000 0.5000
N 0.2500 0.2500 0.2500

Density functional theory data (GGA-PBE) for a geometry-optimized TbTmN structure.

- Uncorrected formation energy: -1.06 eV per atom
- DOS(E_F): 0.87 states/eV per atom
- Mass density: 9.14 g/cm³
- E_tot: -0.505 Ry/atom
- Symmetry: P3m1, No. 156
- Volume: 20.7 Å³/atom

a b c (Å): 3.4711 3.4711 5.9498
angles (deg): 90.00 90.00 120.00
Site moments in Bohr magnetons follow the coordinates.
Sites, in units of the cell vectors:
Tm 0.3333 0.6667 0.5531  0.25
Tb 0.0000 0.0000 0.1047  0.26
N 0.6667 0.3333 0.3423  -0.01

Density functional theory data (GGA-PBE) for a geometry-optimized Tb4Tm2N structure.

- Uncorrected formation energy: -0.24 eV per atom
- DOS(E_F): 1.07 states/eV per atom
- Mass density: 8.15 g/cm³
- E_tot: -0.394 Ry/atom
- Symmetry: I4/mmm, No. 139
- Volume: 28.7 Å³/atom

a b c (Å): 4.8059 4.8059 9.3524
angles (deg): 75.11 75.11 90.00
Sites, in units of the cell vectors:
Tm 0.6657 0.6657 0.6686
Tm 0.3343 0.3343 0.3314
Tb 0.8655 0.8655 0.2689
Tb 0.1345 0.1345 0.7311
Tb 0.0000 0.5000 0.0000
Tb 0.5000 0.0000 0.0000
N 0.0000 0.0000 0.0000

Density functional theory data (GGA-PBE) for a geometry-optimized TbTmN structure.

- Uncorrected formation energy: 0.19 eV per atom
- DOS(E_F): 0.76 states/eV per atom
- Mass density: 6.97 g/cm³
- E_tot: -0.413 Ry/atom
- Symmetry: I4mm, No. 107
- Volume: 27.2 Å³/atom

a b c (Å): 4.6172 4.6172 5.0256
angles (deg): 117.35 117.35 90.00
Sites, in units of the cell vectors:
Tm 0.8836 0.8836 0.7672
Tb 0.3479 0.3479 0.6958
N 0.6185 0.6185 0.2370

Density functional theory data (GGA-PBE) for a geometry-optimized TbTm3N4 structure.

- Uncorrected formation energy: -1.78 eV per atom
- DOS(E_F): 0.05 states/eV per atom
- Mass density: 10.52 g/cm³
- E_tot: -0.602 Ry/atom
- Symmetry: Pm-3m, No. 221
- Volume: 14.2 Å³/atom

a b c (Å): 4.8480 4.8480 4.8480
angles (deg): 90.00 90.00 90.00
Sites, in units of the cell vectors:
Tb 0.0000 0.0000 0.0000
Tm 0.0000 0.5000 0.5000
Tm 0.5000 0.0000 0.5000
Tm 0.5000 0.5000 0.0000
N 0.5000 0.0000 0.0000
N 0.0000 0.5000 0.0000
N 0.0000 0.0000 0.5000
N 0.5000 0.5000 0.5000